# Li3AgS, optimized geometry, DFT PBE
# - formation energy without anion corrections (eV per atom) = -0.651
# - polymorph energy (0 for the lowest one) (meV/atom) = 0.0
# - electronic total energy (eV per atom) = -3.1948
data_Li3AgS
_chemical_formula_sum 'Li3 Ag1 S1'
_symmetry_space_group_name_H-M 'P 1'
_symmetry_Int_Tables_number 1
_cell_length_a 4.637
_cell_length_b 4.637
_cell_length_c 4.637
_cell_angle_alpha 90.00
_cell_angle_beta 90.00
_cell_angle_gamma 90.00
loop_
_symmetry_equiv_pos_as_xyz
'x,y,z'
loop_
_atom_site_label
_atom_site_fract_x
_atom_site_fract_y
_atom_site_fract_z
Li1 0.000 0.000 0.500
Li2 0.000 0.500 0.000
Li3 0.500 0.000 0.000
Ag1 0.500 0.500 0.500
S1 0.000 0.000 0.000